1.
VASP calculation (GGA-PBE) on a relaxed structure of LiCdRe2O8.

Lattice parameters (Å, degrees): 5.172 5.172 11.954 90.00 90.00 90.00
Space group I-4 (No. 82)
Inequivalent atoms, fractional coordinates:
1 Li 0.000 0.000 0.000 x2
2 Cd 0.000 0.500 0.750 x2
3 Re 0.000 0.000 0.500 x2
4 Re 0.000 0.500 0.250 x2
5 O 0.163 0.242 0.578 x8
6 O 0.165 0.743 0.172 x8

=====

2.
VASP calculation (GGA-PBE) on a relaxed structure of Li2Cd2ReO6.

Lattice parameters (Å, degrees): 5.826 9.881 5.227 90.00 104.36 90.00
Space group C2/m (No. 12)
Inequivalent atoms, fractional coordinates:
1 Li 0.000 0.131 0.000 x4
2 Cd 0.000 0.339 0.500 x4
3 Re 0.000 0.000 0.500 x2
4 O 0.184 0.142 0.714 x8
5 O 0.215 0.000 0.271 x4

=====

3.
VASP calculation (GGA-PBE) on a relaxed structure of LiCd2ReO6.

Lattice parameters (Å, degrees): 5.426 5.556 9.600 90.00 124.02 90.00
Space group P2_1/c (No. 14)
Inequivalent atoms, fractional coordinates:
1 Li 0.000 0.000 0.000 x2
2 Cd 0.257 0.046 0.748 x4
3 Re 0.500 0.000 0.500 x2
4 O 0.166 0.054 0.272 x4
5 O 0.258 0.682 0.046 x4
6 O 0.398 0.216 0.068 x4

=====

4.
VASP calculation (GGA-PBE) on a relaxed structure of LiCd2RhO4.

Lattice parameters (Å, degrees): 5.438 3.243 5.513 90.00 107.78 90.00
Space group P2/m (No. 10)
Inequivalent atoms, fractional coordinates:
1 Li 0.000 0.000 0.000 x1
2 Cd 0.000 0.500 0.500 x1
3 Cd 0.500 0.000 0.500 x1
4 Rh 0.500 0.500 0.000 x1
5 O 0.248 0.500 0.235 x2
6 O 0.273 0.000 0.803 x2

=====

5.
VASP calculation (GGA-PBE) on a relaxed structure of Li3CdRh2O6.

Lattice parameters (Å, degrees): 14.324 3.074 5.911 90.00 98.94 90.00
Space group C2/m (No. 12)
Inequivalent atoms, fractional coordinates:
1 Li 0.000 0.000 0.000 x2
2 Li 0.185 0.500 0.351 x4
3 Cd 0.000 0.000 0.500 x2
4 Rh 0.171 0.500 0.839 x4
5 O 0.029 0.500 0.787 x4
6 O 0.172 0.000 0.604 x4
7 O 0.181 0.000 0.080 x4

=====

6.
VASP calculation (GGA-PBE) on a relaxed structure of Li2Cd3RuO6.

Lattice parameters (Å, degrees): 5.572 9.556 5.637 90.00 109.35 90.00
Space group C2/m (No. 12)
Inequivalent atoms, fractional coordinates:
1 Li 0.000 0.165 0.000 x4
2 Cd 0.000 0.000 0.500 x2
3 Cd 0.000 0.329 0.500 x4
4 Ru 0.000 0.500 0.000 x2
5 O 0.225 0.346 0.224 x8
6 O 0.231 0.500 0.791 x4

=====

7.
VASP calculation (GGA-PBE) on a relaxed structure of Li2CdRuO4.

Lattice parameters (Å, degrees): 5.927 6.050 9.906 90.00 90.00 90.00
Space group Imm2 (No. 44)
Inequivalent atoms, fractional coordinates:
1 Li 0.000 0.248 0.000 x4
2 Li 0.247 0.000 0.260 x4
3 Cd 0.000 0.249 0.513 x4
4 Ru 0.238 0.500 0.258 x4
5 O 0.000 0.235 0.757 x4
6 O 0.000 0.248 0.261 x4
7 O 0.225 0.500 0.055 x4
8 O 0.234 0.000 0.960 x4

=====

8.
VASP calculation (GGA-PBE) on a relaxed structure of LiCd2RuO.

Lattice parameters (Å, degrees): 4.606 4.606 4.159 90.00 90.00 90.00
Space group P4/mmm (No. 123)
Inequivalent atoms, fractional coordinates:
1 Li 0.000 0.000 0.000 x1
2 Cd 0.000 0.500 0.000 x2
3 Ru 0.000 0.000 0.500 x1
4 O 0.500 0.500 0.500 x1

=====

9.
VASP calculation (GGA-PBE) on a relaxed structure of Li2Cd2RuO6.

Lattice parameters (Å, degrees): 5.742 9.786 5.213 90.00 104.81 90.00
Space group C2/m (No. 12)
Inequivalent atoms, fractional coordinates:
1 Li 0.000 0.132 0.000 x4
2 Cd 0.000 0.340 0.500 x4
3 Ru 0.000 0.000 0.500 x2
4 O 0.189 0.144 0.716 x8
5 O 0.218 0.000 0.266 x4

=====

10.
VASP calculation (GGA-PBE) on a relaxed structure of Li3Cd2RuO6.

Lattice parameters (Å, degrees): 5.531 9.987 5.242 90.00 108.60 90.00
Space group C2/m (No. 12)
Inequivalent atoms, fractional coordinates:
1 Li 0.000 0.000 0.000 x2
2 Li 0.000 0.368 0.000 x4
3 Cd 0.000 0.171 0.500 x4
4 Ru 0.000 0.500 0.500 x2
5 O 0.214 0.359 0.741 x8
6 O 0.225 0.500 0.268 x4

=====

11.
VASP calculation (GGA-PBE) on a relaxed structure of LiCdSO4.

Lattice parameters (Å, degrees): 5.342 6.175 12.215 90.00 90.00 90.00
Space group Imma (No. 74)
Inequivalent atoms, fractional coordinates:
1 Li 0.000 0.000 0.000 x4
2 Cd 0.250 0.250 0.250 x4
3 S 0.000 0.250 0.590 x4
4 O 0.000 0.051 0.661 x8
5 O 0.233 0.250 0.522 x8

=====

12.
VASP calculation (GGA-PBE) on a relaxed structure of Li2CdSbO4.

Lattice parameters (Å, degrees): 9.015 9.568 6.314 90.00 134.31 90.00
Space group C2/c (No. 15)
Inequivalent atoms, fractional coordinates:
1 Li 0.000 0.000 0.000 x4
2 Li 0.250 0.250 0.000 x4
3 Cd 0.000 0.500 0.000 x4
4 Sb 0.250 0.250 0.500 x4
5 O 0.001 0.249 0.012 x8
6 O 0.239 0.030 0.489 x8

=====

Q: Which final energy values were calculated for the entries above? A: -7.16; -5.76; -5.99; -4.84; -5.48; -4.96; -5.51; -2.65; -5.19; -5.22; -5.14; -4.99, in eV/atom.
Q: Which magnetization values were calculated for the entries above? A: 0.000; 0.000; 0.000; 0.000; 1.957; 4.000; 7.959; 1.031; 3.661; 5.999; 0.000; 0.000, in μB/cell.